Record 1
{"formula": "TmTlV2O8", "functional": "GGA+U", "state": "optimized geometry", "lattice": [[5.846, 0.000, 0.000], [-2.923, 5.063, 0.000], [0.000, 0.000, 6.334]], "species": ["Tm", "Tl", "V", "V", "O", "O", "O", "O", "O", "O", "O", "O"], "fractional_positions": [[0.000, 0.000, 0.500], [0.000, 0.000, 0.000], [0.667, 0.333, 0.180], [0.333, 0.667, 0.820], [0.333, 0.667, 0.077], [0.327, 0.163, 0.263], [0.837, 0.164, 0.263], [0.667, 0.333, 0.923], [0.163, 0.836, 0.737], [0.673, 0.837, 0.737], [0.164, 0.327, 0.737], [0.836, 0.673, 0.263]], "sg": "P-3m1, No. 164", "magnetic_moment_mub_per_atom": 0.000, "total_energy_ev_per_atom": -7.07}

Record 2
{"formula": "TmTl2WO8", "functional": "GGA+U", "state": "optimized geometry", "lattice": [[-1.289, 3.427, -3.528], [-4.573, 0.333, 2.194], [2.248, 4.904, 3.941]], "species": ["Tm", "Tl", "Tl", "W", "O", "O", "O", "O", "O", "O", "O", "O"], "fractional_positions": [[0.000, 0.000, 0.500], [0.500, 0.500, 0.751], [0.500, 0.500, 0.249], [0.000, 0.000, 0.000], [0.177, 0.823, 0.217], [0.718, 0.719, 0.000], [0.823, 0.177, 0.217], [0.823, 0.177, 0.783], [0.282, 0.281, 0.000], [0.177, 0.823, 0.783], [0.697, 0.698, 0.500], [0.303, 0.302, 0.500]], "sg": "Cmmm, No. 65", "magnetic_moment_mub_per_atom": 0.081, "total_energy_ev_per_atom": -6.27}